Density functional theory data (PBE) for a relaxed DyLuNiAg crystal.

Values from the calculation:
Calculated density (g cm⁻³): 9.96
Calculated formation energy (kcal/mol of atoms): -7.8
Space-group type: F-43m (216)
Fermi-level density of states (states/eV per cell): 3.6
Crystal system: cubic
Total magnetization (μB/f.u.): 0.0

abc: 4.917 4.917 4.917
angles: 60.00 60.00 60.00
Sites, in units of the cell vectors:
Dy1 0.000 0.000 0.000
Ni1 0.750 0.750 0.750
Ag1 0.250 0.250 0.250
Lu1 0.500 0.500 0.500